Entry 1:
# CoSBr2 (PBE-GGA, optimized geometry)
# Mass density   4.457 g/cm3
# Crystal system   trigonal
# Energy relative to the elements, uncorrected   0.34 eV/atom
data_CoSBr2
_cell_length_a 7.9873
_cell_length_b 7.9873
_cell_length_c 7.9873
_cell_angle_alpha 27.12
_cell_angle_beta 27.12
_cell_angle_gamma 27.12
_space_group_name_H-M_alt 'P 1'
_space_group_IT_number 1
loop_
_space_group_symop_operation_xyz
'x,y,z'
loop_
_atom_site_label
_atom_site_type_symbol
_atom_site_fract_x
_atom_site_fract_y
_atom_site_fract_z
_atom_site_occupancy
S1 S 0.0000 0.0000 0.0000 1
Co1 Co 0.5000 0.5000 0.5000 1
Br1 Br 0.8925 0.8925 0.8925 1
Br2 Br 0.1075 0.1075 0.1075 1

---

Entry 2:
# GaAg2SbO4 (PBE-GGA, optimized geometry)
# Mass density   6.301 g/cm3
# Crystal system   triclinic
# Energy relative to the elements, uncorrected   -0.98 eV/atom
data_GaAg2SbO4
_cell_length_a 5.4263
_cell_length_b 5.5378
_cell_length_c 5.5637
_cell_angle_alpha 122.17
_cell_angle_beta 102.27
_cell_angle_gamma 104.51
_space_group_name_H-M_alt 'P 1'
_space_group_IT_number 1
loop_
_space_group_symop_operation_xyz
'x,y,z'
loop_
_atom_site_label
_atom_site_type_symbol
_atom_site_fract_x
_atom_site_fract_y
_atom_site_fract_z
_atom_site_occupancy
Ga1 Ga 0.9974 0.4999 0.9852 1
Ag1 Ag 0.4474 0.9013 0.9314 1
Ag2 Ag 0.2180 0.2404 0.4169 1
Sb1 Sb 0.6657 0.6995 0.5025 1
O1 O 0.9633 0.7596 0.8733 1
O2 O 0.7649 0.4197 0.1659 1
O3 O 0.3801 0.7593 0.2519 1
O4 O 0.9503 0.1072 0.6470 1

---

Entry 3:
# Cs2ThTe4Pd2 (PBE-GGA, optimized geometry)
# Mass density   6.379 g/cm3
# Crystal system   monoclinic
# Energy relative to the elements, uncorrected   -0.91 eV/atom
data_Cs2ThTe4Pd2
_cell_length_a 4.4805
_cell_length_b 9.0806
_cell_length_c 8.4566
_cell_angle_alpha 106.04
_cell_angle_beta 105.36
_cell_angle_gamma 90.00
_space_group_name_H-M_alt 'P 1'
_space_group_IT_number 1
loop_
_space_group_symop_operation_xyz
'x,y,z'
loop_
_atom_site_label
_atom_site_type_symbol
_atom_site_fract_x
_atom_site_fract_y
_atom_site_fract_z
_atom_site_occupancy
Cs1 Cs 0.1387 0.5711 0.2774 1
Cs2 Cs 0.8613 0.4289 0.7226 1
Th1 Th 0.0000 0.0000 0.0000 1
Te1 Te 0.2011 0.1532 0.4021 1
Te2 Te 0.7989 0.8468 0.5979 1
Te3 Te 0.5104 0.7605 0.0208 1
Te4 Te 0.4896 0.2395 0.9792 1
Pd1 Pd 0.6688 0.9827 0.3377 1
Pd2 Pd 0.3312 0.0173 0.6623 1

---

Entry 4:
# MnZn2Re (PBE-GGA, optimized geometry)
# Mass density   11.135 g/cm3
# Crystal system   orthorhombic
# Offset from the most stable computed form   0.1859 eV per atom
# Energy relative to the elements   0.242 eV per atom
data_MnZn2Re
_cell_length_a 5.0123
_cell_length_b 5.0123
_cell_length_c 5.0123
_cell_angle_alpha 145.49
_cell_angle_beta 128.14
_cell_angle_gamma 63.79
_space_group_name_H-M_alt 'P 1'
_space_group_IT_number 1
loop_
_space_group_symop_operation_xyz
'x,y,z'
loop_
_atom_site_label
_atom_site_type_symbol
_atom_site_fract_x
_atom_site_fract_y
_atom_site_fract_z
_atom_site_occupancy
Mn1 Mn 0.4949 0.4949 0.0000 1
Re1 Re 0.2609 0.7609 0.5000 1
Zn1 Zn 0.9960 0.9960 0.0000 1
Zn2 Zn 0.7482 0.2482 0.5000 1

---

no.,volume (Å³ per atom)
1,23.4
2,15.5
3,35.3
4,13.9